Density functional theory data (PBEsol) for Cr3Cd after structural relaxation.

The distance to the lowest polymorph of the same formula is 0.606 eV/f.u. The value obtained for the energy of formation is 0.663 eV/atom. The density of states at the Fermi level comes out at 3.06 states/eV per cell. Its total magnetic moment is 0.0 μB per cell. Its crystal system is cubic.

It has space group Pm-3m (No. 221), with a = 3.731 Å, b = 3.731 Å, c = 3.731 Å, α = 90.00°, β = 90.00° and γ = 90.00°. The inequivalent atoms are Cr at (0.000, 0.000, 0.500) and Cd at (0.500, 0.500, 0.500).